Compound: ReMoN2O
Source: Alexandria via LeMat-Bulk
Functional: PBE with a Hubbard U
Structure: relaxed

a b c (Å): 3.9705 3.9705 3.8258
angles (deg): 90.00 90.00 90.00
Fractional coordinates of all 5 atoms:
Re: 0.0000 0.0000 0.0000
Mo: 0.5000 0.5000 0.5000
O: 0.0000 0.0000 0.5000
N: 0.0000 0.5000 0.0000
N: 0.5000 0.0000 0.0000

Properties
Final energy, eV per atom: -8.00
Spin magnetization, μB per formula unit: 3.6
DOS at the Fermi energy, states/eV/cell: 2.29
Symmetry: P4/mmm, No. 123